Entry 1:
Material: Cs3SmCl6
Method: DFT, GGA-PBE
State: optimized geometry

Relative energy among the computed polymorphs in kJ per mole of atoms: 0.0
Magnetization in μB per formula unit: 0.000
Volume in Å³/cell: 817
Crystal system: monoclinic

```
data_Cs3SmCl6
_cell_length_a 8.169
_cell_length_b 8.593
_cell_length_c 14.125
_cell_angle_alpha 90.00
_cell_angle_beta 124.52
_cell_angle_gamma 90.00
_space_group_name_H-M_alt 'P 1 21/c 1'
_space_group_IT_number 14
loop_
_space_group_symop_operation_xyz
'x,y,z'
'-x,-y,-z'
'-x,y+1/2,-z+1/2'
'x,-y+1/2,z+1/2'
loop_
_atom_site_label
_atom_site_type_symbol
_atom_site_fract_x
_atom_site_fract_y
_atom_site_fract_z
Cs1 Cs 0.000 0.000 0.000
Cs2 Cs 0.221 0.063 0.744
Sm1 Sm 0.500 0.000 0.500
Cl1 Cl 0.184 0.175 0.452
Cl2 Cl 0.266 0.740 0.431
Cl3 Cl 0.394 0.050 0.282
```

---

Entry 2:
Material: CsSm4Cl12
Method: DFT, GGA-PBE
State: optimized geometry

Magnetization in μB per formula unit: 0.000
Volume in Å³/cell: 1217
Crystal system: cubic

```
data_CsSm4Cl12
_cell_length_a 10.678
_cell_length_b 10.678
_cell_length_c 10.678
_cell_angle_alpha 90.00
_cell_angle_beta 90.00
_cell_angle_gamma 90.00
_space_group_name_H-M_alt 'I m -3'
_space_group_IT_number 204
_space_group_name_Hall '-I 2 2 3'
loop_
_atom_site_label
_atom_site_type_symbol
_atom_site_fract_x
_atom_site_fract_y
_atom_site_fract_z
Cs1 Cs 0.000 0.000 0.000
Sm1 Sm 0.250 0.250 0.250
Cl1 Cl 0.000 0.206 0.281
```

---

Entry 3:
Material: CsSmCl4
Method: DFT, GGA-PBE
State: optimized geometry

Relative energy among the computed polymorphs in kJ per mole of atoms: 2.3
Magnetization in μB per formula unit: 0.000
Volume in Å³/cell: 192
Crystal system: tetragonal

```
data_CsSmCl4
_cell_length_a 4.816
_cell_length_b 4.816
_cell_length_c 8.267
_cell_angle_alpha 90.00
_cell_angle_beta 90.00
_cell_angle_gamma 90.00
_space_group_name_H-M_alt 'P 4/m m m'
_space_group_IT_number 123
_space_group_name_Hall '-P 4 2'
loop_
_atom_site_label
_atom_site_type_symbol
_atom_site_fract_x
_atom_site_fract_y
_atom_site_fract_z
Cs1 Cs 0.000 0.000 0.000
Sm1 Sm 0.500 0.500 0.500
Cl1 Cl 0.000 0.500 0.305
```

---

Number 1: ΔE_f (raw) -2161 meV per atom. Number 2: ΔE_f (raw) -2166 meV per atom. Number 3: ΔE_f (raw) -2136 meV per atom.